Computed, not measured: a geometry-optimized ZnCuO2 structure at the PBE level of DFT.

Geometry as CIF:
```
data_ZnCuO2
_chemical_formula_sum 'Zn4 Cu4 O8'
_cell_length_a 2.976
_cell_length_b 8.039
_cell_length_c 8.698
_cell_angle_alpha 84.96
_cell_angle_beta 89.60
_cell_angle_gamma 89.73
_space_group_name_H-M_alt 'P -1'
_space_group_IT_number 2
loop_
_space_group_symop_operation_xyz
'x,y,z'
'-x,-y,-z'
loop_
_atom_site_label
_atom_site_type_symbol
_atom_site_fract_x
_atom_site_fract_y
_atom_site_fract_z
Zn1 Zn 0.249 0.282 0.387
Zn2 Zn 0.249 0.374 0.774
Cu1 Cu 0.248 0.829 0.928
Cu2 Cu 0.254 0.949 0.344
O1 O 0.246 0.204 0.604
O2 O 0.247 0.882 0.706
O3 O 0.252 0.479 0.260
O4 O 0.255 0.197 0.942
```

Properties
Density, g/cm3: 5.2
DFT total energy, eV/cell: -74.2
Magnetic moment, μB/f.u.: 0.418
ΔE_f (raw), meV/atom: -816.4
Crystal system: triclinic



Computed, not measured: a geometry-optimized KSrPmI6 structure at the PBE level of DFT.

Geometry as CIF:
```
data_KSrPmI6
_chemical_formula_sum 'K2 Sr2 Pm2 I12'
_cell_length_a 8.2850
_cell_length_b 8.2850
_cell_length_c 15.3408
_cell_angle_alpha 90.00
_cell_angle_beta 90.00
_cell_angle_gamma 120.00
_space_group_name_H-M_alt 'P -3 1 c'
_space_group_IT_number 163
_space_group_name_Hall '-P 3 2c'
loop_
_atom_site_label
_atom_site_type_symbol
_atom_site_fract_x
_atom_site_fract_y
_atom_site_fract_z
K1 K 0.0000 0.0000 0.0000
Sr1 Sr 0.3333 0.6667 0.2500
Pm1 Pm 0.3333 0.6667 0.7500
I1 I 0.0165 0.3715 0.6316
```

Properties
Density, g/cm3: 3.8
DFT total energy, eV/cell: -61.2
Magnetic moment, μB/f.u.: 0.000
ΔE_f (raw), meV/atom: -1530.1
Crystal system: trigonal



Computed, not measured: a geometry-optimized Pr2ScIn3 structure at the PBE level of DFT.

Geometry as CIF:
```
data_Pr2ScIn3
_chemical_formula_sum 'Pr2 Sc1 In3'
_cell_length_a 3.741
_cell_length_b 3.741
_cell_length_c 11.679
_cell_angle_alpha 90.00
_cell_angle_beta 90.00
_cell_angle_gamma 90.00
_space_group_name_H-M_alt 'P 4/m m m'
_space_group_IT_number 123
_space_group_name_Hall '-P 4 2'
loop_
_atom_site_label
_atom_site_type_symbol
_atom_site_fract_x
_atom_site_fract_y
_atom_site_fract_z
Pr1 Pr 0.000 0.000 0.179
Sc1 Sc 0.000 0.000 0.500
In1 In 0.500 0.500 0.000
In2 In 0.500 0.500 0.360
```

Properties
Density, g/cm3: 6.8
DFT total energy, eV/cell: -26.9
Magnetic moment, μB/f.u.: 0.000
Energy relative to the elements, meV per atom: -468
Crystal system: tetragonal
Energy above the most stable polymorph in this dataset, eV per atom: 0.000



Computed, not measured: a geometry-optimized YEr2Tl2Ag2 structure at the PBE level of DFT.

Geometry as CIF:
```
data_YEr2Tl2Ag2
_chemical_formula_sum 'Y3 Er6 Tl6 Ag6'
_cell_length_a 4.8892
_cell_length_b 4.8892
_cell_length_c 25.7251
_cell_angle_alpha 90.00
_cell_angle_beta 90.00
_cell_angle_gamma 120.00
_space_group_name_H-M_alt 'R -3 m'
_space_group_IT_number 166
_space_group_name_Hall '-R 3 2"'
loop_
_atom_site_label
_atom_site_type_symbol
_atom_site_fract_x
_atom_site_fract_y
_atom_site_fract_z
Y1 Y 0.0000 0.0000 0.0000
Er1 Er 0.0000 0.0000 0.1331
Tl1 Tl 0.0000 0.0000 0.2649
Ag1 Ag 0.0000 0.0000 0.4361
```

Properties
Density, g/cm3: 9.8
DFT total energy, eV/cell: -81.3
Magnetic moment, μB/f.u.: 0.000
Energy relative to the elements, meV per atom: -152
Crystal system: trigonal



Computed, not measured: a geometry-optimized RbSO4 structure at the PBE level of DFT.

Geometry as CIF:
```
data_RbSO4
_chemical_formula_sum 'Rb4 S4 O16'
_cell_length_a 7.572
_cell_length_b 7.947
_cell_length_c 9.627
_cell_angle_alpha 90.00
_cell_angle_beta 128.62
_cell_angle_gamma 90.00
_space_group_name_H-M_alt 'P 1 21/c 1'
_space_group_IT_number 14
loop_
_space_group_symop_operation_xyz
'x,y,z'
'-x,-y,-z'
'-x,y+1/2,-z+1/2'
'x,-y+1/2,z+1/2'
loop_
_atom_site_label
_atom_site_type_symbol
_atom_site_fract_x
_atom_site_fract_y
_atom_site_fract_z
Rb1 Rb 0.196 0.157 0.282
S1 S 0.272 0.666 0.185
O1 O 0.113 0.692 0.624
O2 O 0.210 0.526 0.249
O3 O 0.269 0.607 0.036
O4 O 0.494 0.218 0.163
```

Properties
Density, g/cm3: 2.7
DFT total energy, eV/cell: -133.8
Magnetic moment, μB/f.u.: 1.011
ΔE_f (raw), meV/atom: -1422.4
Crystal system: monoclinic



Computed, not measured: a geometry-optimized Li2CaPH structure at the PBE level of DFT.

Geometry as CIF:
```
data_Li2CaPH
_chemical_formula_sum 'Li2 Ca1 P1 H1'
_cell_length_a 4.081
_cell_length_b 4.081
_cell_length_c 4.546
_cell_angle_alpha 90.00
_cell_angle_beta 90.00
_cell_angle_gamma 90.00
_space_group_name_H-M_alt 'P 4/m m m'
_space_group_IT_number 123
_space_group_name_Hall '-P 4 2'
loop_
_atom_site_label
_atom_site_type_symbol
_atom_site_fract_x
_atom_site_fract_y
_atom_site_fract_z
Li1 Li 0.000 0.500 0.000
Ca1 Ca 0.000 0.000 0.500
P1 P 0.500 0.500 0.500
H1 H 0.000 0.000 0.000
```

Properties
Density, g/cm3: 1.9
DFT total energy, eV/cell: -17.9
Magnetic moment, μB/f.u.: 0.000
Crystal system: tetragonal
Energy above the most stable polymorph in this dataset, eV per atom: 0.063



Computed, not measured: a geometry-optimized Hg2Te structure at the PBE level of DFT.

Geometry as CIF:
```
data_Hg2Te
_chemical_formula_sum 'Hg4 Te2'
_cell_length_a 3.157
_cell_length_b 6.794
_cell_length_c 8.677
_cell_angle_alpha 90.00
_cell_angle_beta 90.00
_cell_angle_gamma 90.00
_space_group_name_H-M_alt 'I m m m'
_space_group_IT_number 71
_space_group_name_Hall '-I 2 2'
loop_
_atom_site_label
_atom_site_type_symbol
_atom_site_fract_x
_atom_site_fract_y
_atom_site_fract_z
Hg1 Hg 0.000 0.000 0.162
Te1 Te 0.000 0.000 0.500
```

Properties
Density, g/cm3: 9.4
DFT total energy, eV/cell: -7.3
Magnetic moment, μB/f.u.: 0.000
ΔE_f (raw), meV/atom: 37.4
Crystal system: orthorhombic
Energy above the most stable polymorph in this dataset, eV per atom: 0.067